Entry from Alexandria: a relaxed structure of La2VZnO6 (PBE with a Hubbard U).

```
La2VZnO6
1.0
5.538 -0.005 -0.003
2.632 4.873 -0.003
2.632 1.568 4.613
O La Zn V
6 2 1 1
Direct
0.680 0.839 0.239 O
0.239 0.680 0.839 O
0.161 0.761 0.320 O
0.761 0.320 0.161 O
0.839 0.239 0.680 O
0.320 0.161 0.761 O
0.751 0.751 0.751 La
0.249 0.249 0.249 La
0.500 0.500 0.500 Zn
0.000 0.000 0.000 V
```

Distance to the lowest polymorph of the same formula: 0.0153 eV per atom
Mass density: 6.5 g cm⁻³